4
Lattice="3.773 0.000 0.000 0.000 3.773 0.000 0.000 0.000 7.397" Properties=species:S:1:pos:R:3 comment="Sm2MgAu PBE-GGA optimized geometry" volume_a3_per_atom=26.322 space_group="No. 123" total_magnetization_mub_per_atom=0.000 de_polymorph_mev_per_atom=0 formation_energy_ev_per_atom=-0.45 pbc="T T T"
Sm 0.000 0.000 1.744
Sm 0.000 0.000 5.653
Mg 1.886 1.886 3.698
Au 1.886 1.886 0.000